# CuH14C3NCl3O2

A relaxed structure of CuH14C3NCl3O2 (PBEsol, Alexandria via LeMat-Bulk).

abc: 7.430 7.630 16.469
angles: 90.00 91.98 90.00
Space group P2_1/c (No. 14)
Symmetry-distinct sites (fractional):
Cu 0.000 0.000 0.000 x2
Cu 0.500 0.000 0.000 x2
H 0.023 0.240 0.690 x4
H 0.073 0.186 0.541 x4
H 0.084 0.716 0.713 x4
H 0.102 0.683 0.019 x4
H 0.107 0.582 0.270 x4
H 0.127 0.014 0.365 x4
H 0.236 0.050 0.270 x4
H 0.272 0.733 0.373 x4
H 0.369 0.031 0.363 x4
H 0.398 0.682 0.016 x4
H 0.410 0.695 0.710 x4
H 0.430 0.605 0.268 x4
H 0.433 0.184 0.542 x4
H 0.459 0.200 0.695 x4
C 0.094 0.726 0.274 x4
C 0.247 0.514 0.830 x4
C 0.422 0.748 0.272 x4
N 0.259 0.706 0.816 x4
Cl 0.217 0.509 0.600 x4
Cl 0.255 0.001 0.584 x4
Cl 0.300 0.087 0.900 x4
O 0.040 0.748 0.475 x4
O 0.454 0.749 0.971 x4

Output
- E (eV per cell) = -466.0
- spin magnetization (μB/f.u.) = 1.0


# ReSnTePb2

A relaxed structure of ReSnTePb2 (PBEsol, Alexandria via LeMat-Bulk).

abc: 5.799 5.799 5.504
angles: 90.00 90.00 90.00
Space group P4/mmm (No. 123)
Symmetry-distinct sites (fractional):
Re 0.000 0.000 0.000 x1
Sn 0.500 0.500 0.000 x1
Te 0.500 0.500 0.500 x1
Pb 0.000 0.500 0.500 x2

Output
- E (eV per cell) = -19.6
- spin magnetization (μB/f.u.) = 4.2
- N(E_F) (states/eV per atom) = 0.91
- ΔE_f (raw) (eV per formula unit) = 9.486


# K2ZrAl

A relaxed structure of K2ZrAl (PBEsol, Alexandria via LeMat-Bulk).

abc: 4.294 4.294 6.145
angles: 90.00 90.00 90.00
Space group P4/mmm (No. 123)
Symmetry-distinct sites (fractional):
K 0.000 0.500 0.000 x2
Zr 0.000 0.000 0.500 x1
Al 0.500 0.500 0.500 x1

Output
- E (eV per cell) = -12.7
- spin magnetization (μB/f.u.) = 1.0
- N(E_F) (states/eV per atom) = 0.60
- formation energy (eV per atom) = 0.69


# BaMoPt2

A relaxed structure of BaMoPt2 (PBEsol, Alexandria via LeMat-Bulk).

abc: 2.916 3.645 7.624
angles: 90.00 90.00 90.00
Space group Pmmm (No. 47)
Symmetry-distinct sites (fractional):
Ba 0.000 0.000 0.000 x1
Mo 0.000 0.000 0.500 x1
Pt 0.500 0.500 0.320 x2

Output
- relative energy among the computed polymorphs (eV per formula unit) = 0.00
- E (eV per cell) = -28.2
- spin magnetization (μB/f.u.) = 0.0
- N(E_F) (states/eV per atom) = 0.87
- formation energy (eV per atom) = -0.08


# Be4CuNi

A relaxed structure of Be4CuNi (PBEsol, Alexandria via LeMat-Bulk).

abc: 5.876 5.876 5.876
angles: 90.00 90.00 90.00
Space group F-43m (No. 216)
Symmetry-distinct sites (fractional):
Be 0.125 0.125 0.125 x16
Cu 0.000 0.000 0.500 x4
Ni 0.250 0.250 0.750 x4

Output
- E (eV per cell) = -111.6
- spin magnetization (μB/f.u.) = 0.0
- N(E_F) (states/eV per atom) = 0.28
- formation energy (eV per atom) = -0.24


# SiPd2PbSe

A relaxed structure of SiPd2PbSe (PBEsol, Alexandria via LeMat-Bulk).

abc: 4.483 4.483 5.480
angles: 90.00 90.00 90.00
Space group P4/mmm (No. 123)
Symmetry-distinct sites (fractional):
Si 0.000 0.000 0.000 x1
Pd 0.000 0.500 0.000 x2
Pb 0.000 0.000 0.500 x1
Se 0.500 0.500 0.500 x1

Output
- E (eV per cell) = -24.3
- spin magnetization (μB/f.u.) = 0.0
- N(E_F) (states/eV per atom) = 0.54
- ΔE_f (raw) (eV per formula unit) = 1.181


# CrFeCoO4

A relaxed structure of CrFeCoO4 (PBEsol, Alexandria via LeMat-Bulk).

abc: 5.726 5.835 8.133
angles: 90.00 90.00 90.00
Space group Imma (No. 74)
Symmetry-distinct sites (fractional):
Cr 0.000 0.000 0.000 x4
Fe 0.000 0.250 0.369 x4
Co 0.250 0.250 0.750 x4
O 0.000 0.027 0.757 x8
O 0.232 0.250 0.988 x8

Output
- E (eV per cell) = -229.5
- spin magnetization (μB/f.u.) = 7.1
- N(E_F) (states/eV per atom) = 0.63
- ΔE_f (raw) (eV per formula unit) = -9.441


# MnCoOs

A relaxed structure of MnCoOs (PBEsol, Alexandria via LeMat-Bulk).

abc: 2.5815 2.5815 6.1158
angles: 90.00 90.00 120.00
Space group P3m1 (No. 156)
Symmetry-distinct sites (fractional):
Mn 0.0000 0.0000 0.0000 x1
Co 0.6667 0.3333 0.3156 x1
Os 0.3333 0.6667 0.6655 x1

Output
- relative energy among the computed polymorphs (eV per formula unit) = 0.15
- E (eV per cell) = -29.2
- spin magnetization (μB/f.u.) = 0.6
- N(E_F) (states/eV per atom) = 1.30
- formation energy (eV per atom) = 0.19